No. 1
Computed, not measured: a crystal of LiIr2Rh relaxed with PBEsol at the meta-GGA SCAN level of DFT.

**SG**: C2/m (12)
**Energy of formation from the pure elements**: -169 meV per atom
**D(E_F)**: 3.0 states/eV per cell
**M_tot**: 0.01 μB per cell

Cell: 2.676 4.560 4.626 Å, 98.18 106.81 90.00°
Element x y z (fractional)
Ir1 0.258 0.249 0.515
Ir2 0.742 0.751 0.485
Rh1 0.000 0.500 0.000
Li1 0.500 0.000 0.000

=====

No. 2
Computed, not measured: a crystal of LiIr2Rh relaxed with PBEsol at the meta-GGA SCAN level of DFT.

**SG**: Cmmm (65)
**Energy of formation from the pure elements**: -97 meV per atom
**D(E_F)**: 3.7 states/eV per cell
**M_tot**: 0.00 μB per cell

Cell: 2.623 4.682 4.682 Å, 112.02 90.00 90.00°
Element x y z (fractional)
Ir1 0.000 0.500 0.000
Ir2 0.000 0.000 0.500
Li1 0.500 0.000 0.000
Rh1 0.500 0.500 0.500